Entry 1:
Entry from the Alexandria database: CeDySc after structural relaxation (PBE-GGA).

## Properties
Energy: -0.36898 Ry/atom
Symmetry: Pmmm
Crystal system: orthorhombic
Energy relative to the elements: 1.807 eV/f.u.
Energy above the most stable polymorph in this dataset: 529 meV/atom

```
CeDySc
1.0
-0.839 3.159 -0.763
-4.166 -0.369 3.053
2.999 1.839 4.313
Ce Dy Sc
1 1 1
Cartesian
1.080 2.499 1.775
0.000 0.000 0.000
-0.584 0.735 3.683
```



Entry 2:
Entry from the Alexandria database: RbSn2Au3 after structural relaxation (PBE-GGA).

## Properties
Energy: -0.24924 Ry/atom
Symmetry: C2/m
Crystal system: monoclinic
Energy relative to the elements: -1.541 eV/f.u.
Energy above the most stable polymorph in this dataset: 0 meV/atom

```
RbSn2Au3
1.0
4.763 0.000 0.000
-2.381 9.004 0.292
0.000 -3.726 7.616
Au Sn Rb
6 4 2
Cartesian
0.000 -2.387 5.299
0.000 6.023 2.654
2.381 7.665 2.609
2.381 -0.744 5.254
0.000 3.385 4.475
2.381 1.894 3.433
2.381 -0.186 1.549
0.000 5.465 6.359
0.000 0.557 4.465
2.381 4.722 3.443
2.381 2.545 7.090
0.000 2.733 0.818
```



- energy of number 2 (RbSn2Au3)?
  -0.24924 Ry/atom



- The highest energy above the most stable polymorph in this dataset belongs to which entry?
  CeDySc



What did the first record say?
Entry from the Alexandria database: CeDySc after structural relaxation (PBE-GGA).

## Properties
Energy: -0.36898 Ry/atom
Symmetry: Pmmm
Crystal system: orthorhombic
Energy relative to the elements: 1.807 eV/f.u.
Energy above the most stable polymorph in this dataset: 529 meV/atom

```
CeDySc
1.0
-0.839 3.159 -0.763
-4.166 -0.369 3.053
2.999 1.839 4.313
Ce Dy Sc
1 1 1
Cartesian
1.080 2.499 1.775
0.000 0.000 0.000
-0.584 0.735 3.683
```



Repeat the first record exactly.
Entry from the Alexandria database: CeDySc after structural relaxation (PBE-GGA).

## Properties
Energy: -0.36898 Ry/atom
Symmetry: Pmmm
Crystal system: orthorhombic
Energy relative to the elements: 1.807 eV/f.u.
Energy above the most stable polymorph in this dataset: 529 meV/atom

```
CeDySc
1.0
-0.839 3.159 -0.763
-4.166 -0.369 3.053
2.999 1.839 4.313
Ce Dy Sc
1 1 1
Cartesian
1.080 2.499 1.775
0.000 0.000 0.000
-0.584 0.735 3.683
```